Mg3GaNi9P2, relaxed, DFT PBE-GGA; theoretical density = 5.21 g/cm3; calculated formation energy = -0.1866 eV/atom; space-group type = P-3m1, No. 164
1.0
5.665 0.000 0.000
-2.833 4.906 0.000
0.000 0.000 8.403
P Ni Mg Ga
2 9 3 1
Cartesian
0.000 3.271 1.422
2.833 1.635 6.981
-1.640 4.218 2.244
1.193 0.689 6.159
1.416 2.453 0.000
1.640 4.218 2.244
-1.416 2.453 0.000
4.473 0.689 6.159
0.000 1.377 2.244
2.833 3.529 6.159
2.833 0.000 0.000
2.833 1.635 2.337
0.000 3.271 6.066
0.000 0.000 0.000
0.000 0.000 4.201